Here is a relaxed structure of RbGeIrS5 from OQMD. Energies are from PBE.

The structure in POSCAR format:
```
RbGeIrS5
1.0
-3.541 5.066 -3.513
0.085 -2.060 -6.831
-7.587 -4.373 -1.963
Ge Ir Rb S
2 2 2 10
direct
0.978 0.705 0.368
0.022 0.295 0.632
0.246 0.990 0.026
0.754 0.010 0.974
0.588 0.363 0.308
0.412 0.637 0.692
0.054 0.782 0.003
0.446 0.208 0.025
0.695 0.878 0.273
0.222 0.870 0.304
0.075 0.377 0.361
0.925 0.623 0.639
0.778 0.130 0.696
0.305 0.122 0.727
0.554 0.792 0.975
0.946 0.218 0.997
```

The total energy is -77.23 eV per cell.